[1]
CaAc4Ru2 (GGA-PBE, relaxed); energy of formation from the pure elements = -75 meV per atom; E = -75.03 eV for the cell shown
1.0
7.786 0.000 0.000
0.000 7.316 0.000
-3.786 0.000 8.395
Ca Ac Ru
2 8 4
direct
0.008 0.250 0.275
0.992 0.750 0.725
0.236 0.250 0.715
0.288 0.501 0.083
0.288 0.999 0.083
0.317 0.750 0.504
0.683 0.250 0.496
0.712 0.001 0.917
0.712 0.499 0.917
0.764 0.750 0.285
0.037 0.750 0.157
0.405 0.750 0.843
0.595 0.250 0.157
0.963 0.250 0.843

[2]
CaAc4Ru (GGA-PBE, relaxed); energy of formation from the pure elements = 12 meV per atom; E = -55.28 eV for the cell shown
1.0
5.371 -7.731 0.000
5.371 7.731 0.000
-2.885 0.000 6.400
Ca Ac Ru
2 8 2
direct
0.089 0.911 0.750
0.911 0.089 0.250
0.143 0.565 0.344
0.263 0.385 0.813
0.385 0.263 0.313
0.435 0.857 0.156
0.565 0.143 0.844
0.615 0.737 0.687
0.737 0.615 0.187
0.857 0.435 0.656
0.420 0.580 0.250
0.580 0.420 0.750

[3]
Ca2Ac5Ru2 (GGA-PBE, relaxed); energy of formation from the pure elements = -73 meV per atom; E = -87.51 eV for the cell shown
1.0
10.197 -4.072 0.000
10.197 4.072 0.000
0.000 0.000 8.208
Ca Ac Ru
4 10 4
direct
0.230 0.230 0.000
0.270 0.270 0.500
0.730 0.730 0.500
0.770 0.770 0.000
0.000 0.000 0.000
0.066 0.739 0.664
0.239 0.566 0.164
0.261 0.934 0.664
0.434 0.761 0.164
0.500 0.500 0.500
0.566 0.239 0.836
0.739 0.066 0.336
0.761 0.434 0.836
0.934 0.261 0.336
0.143 0.857 0.358
0.357 0.643 0.858
0.643 0.357 0.142
0.857 0.143 0.642

[4]
SrCa2AcRu (GGA-PBE, relaxed); energy of formation from the pure elements = -9 meV per atom; E = -19.11 eV for the cell shown
1.0
5.817 0.000 0.000
0.000 5.817 0.000
0.000 0.000 5.548
Sr Ca Ac Ru
1 2 1 1
direct
0.000 0.000 0.000
0.000 0.500 0.500
0.500 0.000 0.500
0.500 0.500 0.000
0.500 0.500 0.500

[5]
SrCaAc2Ru (GGA-PBE, relaxed); energy of formation from the pure elements = -92 meV per atom; E = -21.64 eV for the cell shown
1.0
5.728 0.000 0.000
0.000 5.728 0.000
0.000 0.000 5.987
Sr Ca Ac Ru
1 1 2 1
direct
0.000 0.000 0.000
0.500 0.500 0.000
0.000 0.500 0.500
0.500 0.000 0.500
0.500 0.500 0.500

[6]
CaAcZnRu (GGA-PBE, relaxed); energy of formation from the pure elements = -14 meV per atom; E = -16.71 eV for the cell shown
1.0
0.000 3.661 3.661
3.661 0.000 3.661
3.661 3.661 0.000
Ca Ac Zn Ru
1 1 1 1
direct
0.000 0.000 0.000
0.500 0.500 0.500
0.250 0.250 0.250
0.750 0.750 0.750

[7]
CaAc3S4 (GGA-PBE, relaxed); E_form (uncorrected) = -2.013 eV per atom; E = -93.88 eV for the cell shown
1.0
7.382 0.000 0.000
0.000 8.495 0.000
-2.442 0.000 6.927
Ca Ac S
2 6 8
direct
0.000 0.123 0.250
0.000 0.877 0.750
0.000 0.374 0.750
0.000 0.626 0.250
0.500 0.126 0.750
0.500 0.377 0.250
0.500 0.623 0.750
0.500 0.874 0.250
0.236 0.118 0.002
0.236 0.882 0.502
0.241 0.367 0.490
0.241 0.633 0.990
0.759 0.367 0.010
0.759 0.633 0.510
0.764 0.118 0.498
0.764 0.882 0.998

[8]
CaAc3S6 (GGA-PBE, relaxed); E_form (uncorrected) = -1.891 eV per atom; E = -116.00 eV for the cell shown
1.0
7.351 0.000 0.000
0.000 7.751 0.000
-6.512 0.000 10.251
Ca Ac S
2 6 12
direct
0.000 0.000 0.000
0.000 0.500 0.500
0.200 0.083 0.737
0.200 0.417 0.237
0.500 0.000 0.500
0.500 0.500 0.000
0.800 0.583 0.763
0.800 0.917 0.263
0.113 0.195 0.430
0.113 0.305 0.930
0.211 0.695 0.410
0.211 0.805 0.910
0.407 0.080 0.239
0.407 0.420 0.739
0.593 0.580 0.261
0.593 0.920 0.761
0.789 0.195 0.090
0.789 0.305 0.590
0.887 0.695 0.070
0.887 0.805 0.570